# 1
Entry from the Alexandria database: a geometry-optimized AcPrSi structure (PBE-GGA).

Uncorrected formation energy in eV/atom: -0.35
VASP energy in eV per atom: -5.12

Unit cell a=7.3675 b=7.3675 c=7.3675 alpha=90.00 beta=90.00 gamma=90.00
Closest atoms and distances in Å follow each position.
Space group F-43m (No. 216)
Symmetry-distinct sites (fractional):
Ac (0.0000, 0.0000, 0.0000) [4 per cell]  4 Si 3.19
Pr (0.0000, 0.0000, 0.5000) [4 per cell]  4 Si 3.19
Si (0.2500, 0.2500, 0.2500) [4 per cell]  4 Ac 3.19, 4 Pr 3.19

# 2
Entry from the Alexandria database: a geometry-optimized AcPrSi2 structure (PBE-GGA).

Uncorrected formation energy in eV/atom: -0.44
VASP energy in eV per atom: -5.37

Unit cell a=4.0017 b=4.0017 c=6.6164 alpha=90.00 beta=90.00 gamma=90.00
Closest atoms and distances in Å follow each position.
Space group P4/mmm (No. 123)
Symmetry-distinct sites (fractional):
Ac (0.0000, 0.0000, 0.0000) [1 per cell]  2 Pr 3.31, 8 Si 3.50
Pr (0.0000, 0.0000, 0.5000) [1 per cell]  8 Si 3.10, 2 Ac 3.31
Si (0.5000, 0.5000, 0.3105) [2 per cell]  1 Si 2.51